# 1
Here is an optimized crystal structure of LiNb2S2 from Alexandria. Energies are from PBE-GGA.

Cell and atoms, written as extended XYZ:
```
5
Lattice="-1.086 2.071 4.217 0.247 -4.297 2.174 3.459 -0.530 3.908" Properties=species:S:1:pos:R:3 pbc="T T T"
Li 0.000 0.000 0.000
S 1.643 -2.970 4.638
S 0.977 0.214 5.660
Nb 0.725 -0.941 3.406
Nb 1.895 -1.815 6.893
```

---

# 2
Here is an optimized crystal structure of LiNb5S8 from Alexandria. Energies are from PBE-GGA.

Cell and atoms, written as extended XYZ:
```
14
Lattice="-2.266 -5.240 -4.584 -2.010 -6.536 2.618 -7.049 -1.975 -0.104" Properties=species:S:1:pos:R:3 pbc="T T T"
Nb -6.007 -5.579 -2.347
Nb -3.897 -7.488 -1.208
Nb -6.848 -8.315 -1.252
Nb -5.899 -6.121 0.667
Nb 0.000 0.000 0.000
Li -2.831 -3.438 -0.517
S -6.547 -10.989 -1.743
S -9.801 -11.900 -1.791
S -5.247 -8.445 0.553
S -8.873 -8.883 -3.000
S -8.755 -9.481 0.325
S -4.229 -5.135 -0.773
S -5.376 -7.789 -3.094
S -7.799 -6.135 -0.826
```

---

Across the entries above, raw formation energy takes the values -46.4, -89.0 kJ/mol of atoms, respectively.